Density functional theory data (GGA-PBE) for a geometry-optimized CaNd5As6 structure.

Output
D(E_F) in states/eV/f.u.: 4.82
Energy relative to the elements in eV/atom: -1.408
Energy in eV/atom: -5.886

Lattice parameters (Å, degrees): 7.399 7.399 7.408 99.59 99.59 120.03
Atoms (fractional coordinates):
Ca (0.000, 0.000, 0.000)
Nd (0.834, 0.166, 0.500)
Nd (0.667, 0.333, 0.000)
Nd (0.500, 0.500, 0.500)
Nd (0.333, 0.667, 0.000)
Nd (0.166, 0.834, 0.500)
As (0.420, 0.084, 0.251)
As (0.916, 0.580, 0.749)
As (0.252, 0.252, 0.749)
As (0.748, 0.748, 0.251)
As (0.084, 0.420, 0.251)
As (0.580, 0.916, 0.749)